No. 1
Below is a relaxed structure of FeB, with properties calculated at the GGA-PBE level.

Output
DFT formation energy in meV/atom: 12.6
Total magnetization in μB/f.u.: 1.94
DFT total energy in eV/atom: -7.557

Unit cell a=5.4285 b=5.4285 c=4.1798 alpha=90.00 beta=90.00 gamma=120.00
Last column: nearest neighbours and their distance in Å.
Fractional coordinates of all 12 atoms:
Fe 0.1022 0.3257 0.2500  5 B 2.06-2.23
Fe 0.2235 0.8978 0.2500  5 B 2.06-2.23
Fe 0.3257 0.2235 0.7500  5 B 2.06-2.23
Fe 0.6743 0.7765 0.2500  5 B 2.06-2.23
Fe 0.7765 0.1022 0.7500  5 B 2.06-2.23
Fe 0.8978 0.6743 0.7500  5 B 2.06-2.23
B 0.1513 0.4845 0.7500  2 B 1.71
B 0.3332 0.8487 0.7500  2 B 1.71
B 0.4845 0.3332 0.2500  2 B 1.71
B 0.5155 0.6668 0.7500  2 B 1.71
B 0.6668 0.1513 0.2500  2 B 1.71
B 0.8487 0.5155 0.2500  2 B 1.71

---

No. 2
Below is a relaxed structure of FeB, with properties calculated at the GGA-PBE level.

Output
DFT formation energy in meV/atom: -146.0
Total magnetization in μB/f.u.: 1.38
DFT total energy in eV/atom: -7.716

Unit cell a=5.1175 b=5.1175 c=5.1175 alpha=150.67 beta=60.94 gamma=127.88
Last column: nearest neighbours and their distance in Å.
Fractional coordinates of all 6 atoms:
Fe 0.0000 0.0000 0.0000  6 B 2.04-2.11
Fe 0.0558 0.7787 0.2771  4 B 1.99-2.13
Fe 0.5017 0.7787 0.7229  4 B 1.99-2.13
B 0.3507 0.8507 0.5000  2 B 1.74
B 0.5852 0.1850 0.4003  2 B 1.74-1.76
B 0.7847 0.1850 0.5997  2 B 1.74-1.76

---

No. 3
Below is a relaxed structure of FeB, with properties calculated at the GGA-PBE level.

Output
DFT formation energy in meV/atom: -91.9
Total magnetization in μB/f.u.: 0.30
DFT total energy in eV/atom: -7.662

Unit cell a=2.4855 b=2.4855 c=2.4855 alpha=90.00 beta=90.00 gamma=90.00
Last column: nearest neighbours and their distance in Å.
Fractional coordinates of all 2 atoms:
Fe 0.0000 0.0000 0.0000  8 B 2.15
B 0.5000 0.5000 0.5000  8 Fe 2.15

---

No. 4
Below is a relaxed structure of FeB, with properties calculated at the GGA-PBE level.

Output
DFT formation energy in meV/atom: -377.0
Total magnetization in μB/f.u.: 1.35
DFT total energy in eV/atom: -7.947

Unit cell a=7.7550 b=7.7550 c=7.7550 alpha=158.25 beta=158.25 gamma=30.95
Last column: nearest neighbours and their distance in Å.
Fractional coordinates of all 8 atoms:
Fe 0.0709 0.3209 0.7500  7 B 2.14-2.16
Fe 0.3209 0.0709 0.2500  7 B 2.14-2.16
Fe 0.6791 0.9291 0.7500  7 B 2.14-2.16
Fe 0.9291 0.6791 0.2500  7 B 2.14-2.16
B 0.2151 0.4651 0.7500  2 B 1.80
B 0.4651 0.2151 0.2500  2 B 1.80
B 0.5349 0.7849 0.7500  2 B 1.80
B 0.7849 0.5349 0.2500  2 B 1.80

---

No. 5
Below is a relaxed structure of Fe4B3, with properties calculated at the GGA-PBE level.

Output
DFT formation energy in meV/atom: -116.8
Total magnetization in μB/f.u.: 5.80
DFT total energy in eV/atom: -7.814

Unit cell a=7.1959 b=7.1959 c=7.1959 alpha=26.05 beta=26.05 gamma=26.05
Last column: nearest neighbours and their distance in Å.
Fractional coordinates of all 7 atoms:
Fe 0.1218 0.1218 0.1218  6 B 2.09-2.10
Fe 0.2971 0.2971 0.2971  3 B 2.05
Fe 0.7029 0.7029 0.7029  3 B 2.05
Fe 0.8782 0.8782 0.8782  6 B 2.09-2.10
B 0.4091 0.4091 0.4091  1 B 1.89, 6 Fe 2.05-2.10
B 0.5000 0.5000 0.5000  2 B 1.89, 6 Fe 2.09
B 0.5909 0.5909 0.5909  1 B 1.89, 6 Fe 2.05-2.10

---

No. 6
Below is a relaxed structure of FeB, with properties calculated at the GGA-PBE level.

Output
DFT formation energy in meV/atom: 863.7
Total magnetization in μB/f.u.: 1.08
DFT total energy in eV/atom: -6.706

Unit cell a=5.2737 b=5.2737 c=5.2737 alpha=109.47 beta=109.47 gamma=109.47
Last column: nearest neighbours and their distance in Å.
Fractional coordinates of all 8 atoms:
Fe 0.0000 0.0000 0.3061  4 B 1.93
Fe 0.0000 0.3061 0.0000  4 B 1.93
Fe 0.3061 0.0000 0.0000  4 B 1.93
Fe 0.6939 0.6939 0.6939  4 B 1.93
B 0.0000 0.0000 0.6721  4 Fe 1.93
B 0.0000 0.6721 0.0000  4 Fe 1.93
B 0.3279 0.3279 0.3279  4 Fe 1.93
B 0.6721 0.0000 0.0000  4 Fe 1.93

---

No. 7
Below is a relaxed structure of FeB, with properties calculated at the GGA-PBE level.

Output
DFT formation energy in meV/atom: 7.4
Total magnetization in μB/f.u.: 1.25
DFT total energy in eV/atom: -7.563

Unit cell a=4.6854 b=4.6854 c=4.6854 alpha=99.84 beta=99.84 gamma=131.17
Last column: nearest neighbours and their distance in Å.
Fractional coordinates of all 8 atoms:
Fe 0.1022 0.3162 0.4185  4 B 1.97-2.08
Fe 0.3162 0.8978 0.2140  4 B 1.97-2.08
Fe 0.6838 0.1022 0.7860  4 B 1.97-2.08
Fe 0.8978 0.6838 0.5815  4 B 1.97-2.08
B 0.3061 0.5703 0.8764  2 B 1.76, 1 Fe 1.97
B 0.4297 0.3061 0.7358  2 B 1.76, 1 Fe 1.97
B 0.5703 0.6939 0.2642  2 B 1.76, 1 Fe 1.97
B 0.6939 0.4297 0.1236  2 B 1.76, 1 Fe 1.97

---

No. 8
Below is a relaxed structure of Fe2B, with properties calculated at the GGA-PBE level.

Output
DFT formation energy in meV/atom: -310.3
Total magnetization in μB/f.u.: 3.66
DFT total energy in eV/atom: -8.178

Unit cell a=4.1480 b=4.1480 c=4.1480 alpha=105.09 beta=105.09 gamma=118.63
Last column: nearest neighbours and their distance in Å.
Fractional coordinates of all 6 atoms:
Fe 0.1665 0.6665 0.8331  4 B 2.16, 1 Fe 2.38
Fe 0.3335 0.1665 0.5000  4 B 2.16, 1 Fe 2.38
Fe 0.6665 0.8335 0.5000  4 B 2.16, 1 Fe 2.38
Fe 0.8335 0.3335 0.1669  4 B 2.16, 1 Fe 2.38
B 0.2500 0.2500 0.0000  2 B 2.12, 8 Fe 2.16
B 0.7500 0.7500 0.0000  2 B 2.12, 8 Fe 2.16

---

No. 9
Below is a relaxed structure of Fe2B, with properties calculated at the GGA-PBE level.

Output
DFT formation energy in meV/atom: 75.4
Total magnetization in μB/f.u.: 4.05
DFT total energy in eV/atom: -7.792

Unit cell a=3.4875 b=3.4875 c=2.4945 alpha=90.00 beta=90.00 gamma=90.00
Last column: nearest neighbours and their distance in Å.
Fractional coordinates of all 3 atoms:
Fe 0.0000 0.5000 0.0000  4 B 2.14
Fe 0.5000 0.0000 0.0000  4 B 2.14
B 0.0000 0.0000 0.5000  8 Fe 2.14

---

No. 10
Below is a relaxed structure of FeB, with properties calculated at the GGA-PBE level.

Output
DFT formation energy in meV/atom: -372.3
Total magnetization in μB/f.u.: 1.17
DFT total energy in eV/atom: -7.942

Unit cell a=5.4089 b=2.9435 c=3.9917 alpha=90.00 beta=90.00 gamma=90.00
Last column: nearest neighbours and their distance in Å.
Fractional coordinates of all 8 atoms:
Fe 0.1780 0.2500 0.1205  7 B 2.14-2.15
Fe 0.3220 0.7500 0.6205  7 B 2.14-2.15
Fe 0.6780 0.2500 0.3795  7 B 2.14-2.15
Fe 0.8220 0.7500 0.8795  7 B 2.14-2.15
B 0.0345 0.2500 0.6189  2 B 1.79
B 0.4655 0.7500 0.1189  2 B 1.79
B 0.5345 0.2500 0.8811  2 B 1.79
B 0.9655 0.7500 0.3811  2 B 1.79

---

No. 11
Below is a relaxed structure of FeB, with properties calculated at the GGA-PBE level.

Output
DFT formation energy in meV/atom: -60.0
Total magnetization in μB/f.u.: 1.14
DFT total energy in eV/atom: -7.630

Unit cell a=5.2052 b=4.8436 c=4.0628 alpha=70.91 beta=61.57 gamma=47.53
Last column: nearest neighbours and their distance in Å.
Fractional coordinates of all 8 atoms:
Fe 0.0787 0.6713 0.0787  6 B 2.08-2.12
Fe 0.3287 0.9213 0.3287  6 B 2.08-2.12
Fe 0.6713 0.0787 0.6713  6 B 2.08-2.12
Fe 0.9213 0.3287 0.9213  6 B 2.08-2.12
B 0.2008 0.5492 0.5492  1 B 1.77
B 0.4508 0.7992 0.7992  1 B 1.77
B 0.5492 0.2008 0.2008  1 B 1.77
B 0.7992 0.4508 0.4508  1 B 1.77

---

No. 12
Below is a relaxed structure of Ga2Fe2B, with properties calculated at the GGA-PBE level.

Output
DFT formation energy in meV/atom: -79.6
Total magnetization in μB/f.u.: 0.72
DFT total energy in eV/atom: -6.011

Unit cell a=5.4329 b=5.4329 c=3.8805 alpha=90.00 beta=90.00 gamma=90.00
Last column: nearest neighbours and their distance in Å.
Fractional coordinates of all 10 atoms:
Ga 0.1624 0.3376 0.0000  6 Fe 2.37-2.61, 1 Ga 2.49
Ga 0.3376 0.8376 0.0000  6 Fe 2.37-2.61, 1 Ga 2.49
Ga 0.6624 0.1624 0.0000  6 Fe 2.37-2.61, 1 Ga 2.49
Ga 0.8376 0.6624 0.0000  6 Fe 2.37-2.61, 1 Ga 2.49
Fe 0.1599 0.6599 0.5000  2 B 2.04
Fe 0.3401 0.1599 0.5000  2 B 2.04
Fe 0.6599 0.8401 0.5000  2 B 2.04
Fe 0.8401 0.3401 0.5000  2 B 2.04
B 0.0000 0.0000 0.5000  4 Fe 2.04
B 0.5000 0.5000 0.5000  4 Fe 2.04

---

No. 13
Below is a relaxed structure of GaFeB3, with properties calculated at the GGA-PBE level.

Output
DFT formation energy in meV/atom: 2326.7
Total magnetization in μB/f.u.: 0.00
Energy above the most stable polymorph in this dataset in eV per atom: 1.497
DFT total energy in eV/atom: -3.978

Unit cell a=3.8740 b=3.8740 c=3.8740 alpha=90.00 beta=90.00 gamma=90.00
Last column: nearest neighbours and their distance in Å.
Fractional coordinates of all 5 atoms:
Ga 0.0000 0.0000 0.0000  6 B 1.94
Fe 0.5000 0.5000 0.5000  12 B 2.74
B 0.0000 0.0000 0.5000  2 Ga 1.94
B 0.0000 0.5000 0.0000  2 Ga 1.94
B 0.5000 0.0000 0.0000  2 Ga 1.94

---

No. 14
Below is a relaxed structure of GaFeB, with properties calculated at the GGA-PBE level.

Output
DFT formation energy in meV/atom: 133.2
Total magnetization in μB/f.u.: 0.92
DFT total energy in eV/atom: -5.922

Unit cell a=6.7143 b=6.7143 c=6.7143 alpha=94.68 beta=94.68 gamma=146.81
Last column: nearest neighbours and their distance in Å.
Fractional coordinates of all 12 atoms:
Ga 0.1580 0.1580 0.3160  2 Fe 2.33
Ga 0.1580 0.8420 0.0000  2 Fe 2.33
Ga 0.8420 0.1580 0.0000  2 Fe 2.33
Ga 0.8420 0.8420 0.6840  2 Fe 2.33
Fe 0.0000 0.3591 0.3591  4 B 1.95-2.09
Fe 0.0000 0.6409 0.6409  4 B 1.95-2.09
Fe 0.3591 0.0000 0.3591  4 B 1.95-2.09
Fe 0.6409 0.0000 0.6409  4 B 1.95-2.09
B 0.1813 0.5000 0.6813  4 Fe 1.95-2.09
B 0.5000 0.1813 0.6813  4 Fe 1.95-2.09
B 0.5000 0.8187 0.3187  4 Fe 1.95-2.09
B 0.8187 0.5000 0.3187  4 Fe 1.95-2.09

---

No. 15
Below is a relaxed structure of GaFe2B, with properties calculated at the GGA-PBE level.

Output
DFT formation energy in meV/atom: 172.7
Total magnetization in μB/f.u.: 2.78
Energy above the most stable polymorph in this dataset in eV per atom: 0.020
DFT total energy in eV/atom: -6.485

Unit cell a=4.4937 b=4.4937 c=4.4937 alpha=46.86 beta=46.86 gamma=46.86
Last column: nearest neighbours and their distance in Å.
Fractional coordinates of all 4 atoms:
Ga 0.0000 0.0000 0.0000  8 Fe 2.48-2.61
Fe 0.2179 0.2179 0.2179  3 B 2.15, 3 Fe 2.40
Fe 0.7821 0.7821 0.7821  3 B 2.15, 3 Fe 2.40
B 0.5000 0.5000 0.5000  6 Fe 2.15

---

No. 16
Below is a relaxed structure of Ga2Fe6B, with properties calculated at the GGA-PBE level.

Output
DFT formation energy in meV/atom: -171.5
Total magnetization in μB/f.u.: 13.40
DFT total energy in eV/atom: -7.228

Unit cell a=6.4248 b=6.4248 c=2.9076 alpha=90.00 beta=90.00 gamma=120.00
Last column: nearest neighbours and their distance in Å.
Fractional coordinates of all 9 atoms:
Ga 0.3333 0.6667 0.0000  9 Fe 2.51
Ga 0.6667 0.3333 0.0000  9 Fe 2.51
Fe 0.0000 0.2374 0.0000  2 B 2.11
Fe 0.0000 0.6347 0.5000  1 B 2.35, 4 Ga 2.51, 4 Fe 2.52
Fe 0.2374 0.0000 0.0000  2 B 2.11
Fe 0.3653 0.3653 0.5000  1 B 2.35, 4 Ga 2.51, 4 Fe 2.52
Fe 0.6347 0.0000 0.5000  1 B 2.35, 4 Ga 2.51, 4 Fe 2.52
Fe 0.7626 0.7626 0.0000  2 B 2.11
B 0.0000 0.0000 0.5000  9 Fe 2.11-2.35

---

No. 17
Below is a relaxed structure of GaFeB3, with properties calculated at the GGA-PBE level.

Output
DFT formation energy in meV/atom: 829.6
Total magnetization in μB/f.u.: 0.00
Energy above the most stable polymorph in this dataset in eV per atom: 0.000
DFT total energy in eV/atom: -5.475

Unit cell a=3.8171 b=3.8171 c=3.8171 alpha=90.00 beta=90.00 gamma=90.00
Last column: nearest neighbours and their distance in Å.
Fractional coordinates of all 5 atoms:
Ga 0.0000 0.0000 0.0000  12 B 2.70
Fe 0.5000 0.5000 0.5000  6 B 1.91
B 0.0000 0.5000 0.5000  2 Fe 1.91
B 0.5000 0.0000 0.5000  2 Fe 1.91
B 0.5000 0.5000 0.0000  2 Fe 1.91

---

No. 18
Below is a relaxed structure of Ga3Fe8B2, with properties calculated at the GGA-PBE level.

Output
DFT formation energy in meV/atom: -17.1
Total magnetization in μB/f.u.: 16.91
DFT total energy in eV/atom: -6.951

Unit cell a=7.1828 b=7.1828 c=3.7738 alpha=90.00 beta=90.00 gamma=127.29
Last column: nearest neighbours and their distance in Å.
Fractional coordinates of all 13 atoms:
Ga 0.0000 0.0000 0.0000  8 Fe 2.52-2.65, 4 Ga 2.68
Ga 0.2993 0.2993 0.5000  8 Fe 2.53-2.71, 3 Ga 2.56-2.68
Ga 0.7007 0.7007 0.5000  8 Fe 2.53-2.71, 3 Ga 2.56-2.68
Fe 0.1067 0.4052 0.0000  2 B 2.05-2.07
Fe 0.1441 0.8559 0.5000  2 B 2.29, 5 Fe 2.40-2.50
Fe 0.3303 0.6697 0.5000  2 B 2.18, 1 Fe 2.40
Fe 0.4052 0.1067 0.0000  2 B 2.05-2.07
Fe 0.5948 0.8933 0.0000  2 B 2.05-2.07
Fe 0.6697 0.3303 0.5000  2 B 2.18, 1 Fe 2.40
Fe 0.8559 0.1441 0.5000  2 B 2.29, 5 Fe 2.40-2.50
Fe 0.8933 0.5948 0.0000  2 B 2.05-2.07
B 0.2451 0.7549 0.0000  8 Fe 2.05-2.29
B 0.7549 0.2451 0.0000  8 Fe 2.05-2.29

---

No. 19
Below is a relaxed structure of GaFe2B2, with properties calculated at the GGA-PBE level.

Output
DFT formation energy in meV/atom: -154.5
Total magnetization in μB/f.u.: 2.81
DFT total energy in eV/atom: -6.816

Unit cell a=5.5989 b=5.5989 c=2.8971 alpha=90.00 beta=90.00 gamma=90.00
Last column: nearest neighbours and their distance in Å.
Fractional coordinates of all 10 atoms:
Ga 0.0000 0.0000 0.0000  4 B 2.26, 8 Fe 2.53
Ga 0.5000 0.5000 0.0000  4 B 2.26, 8 Fe 2.53
Fe 0.1702 0.3298 0.5000  6 B 2.16-2.26
Fe 0.3298 0.8298 0.5000  6 B 2.16-2.26
Fe 0.6702 0.1702 0.5000  6 B 2.16-2.26
Fe 0.8298 0.6702 0.5000  6 B 2.16-2.26
B 0.1110 0.6110 0.0000  1 B 1.76
B 0.3890 0.1110 0.0000  1 B 1.76
B 0.6110 0.8890 0.0000  1 B 1.76
B 0.8890 0.3890 0.0000  1 B 1.76

---

No. 20
Below is a relaxed structure of Ga2FeB, with properties calculated at the GGA-PBE level.

Output
DFT formation energy in meV/atom: 382.3
Total magnetization in μB/f.u.: 2.42
DFT total energy in eV/atom: -4.916

Unit cell a=5.6158 b=5.6158 c=5.6158 alpha=97.67 beta=97.67 gamma=137.16
Last column: nearest neighbours and their distance in Å.
Fractional coordinates of all 8 atoms:
Ga 0.0097 0.1250 0.3847  2 B 2.16
Ga 0.3750 0.9903 0.1153  2 B 2.16
Ga 0.7403 0.6250 0.6153  2 B 2.16
Ga 0.8750 0.2597 0.8847  2 B 2.16
Fe 0.2500 0.7500 0.5000  2 B 2.05
Fe 0.5000 0.5000 0.0000  2 B 2.05
B 0.0000 0.0000 0.0000  2 Fe 2.05, 4 Ga 2.16
B 0.7500 0.2500 0.5000  2 Fe 2.05, 4 Ga 2.16